## Mo2P3 (GGA-PBE)

Data for a relaxed structure of Mo2P3.

Properties
formation energy	-0.19	eV per atom
space-group type	R-3m, No. 166
density of states at the Fermi level	12.106	states/eV/cell
DFT total energy	-116.5	eV per cell

abc: 3.0965 3.0965 26.2607
angles: 90.00 90.00 120.00
Element x y z (fractional)
Mo: 0.0000 0.0000 0.0987
Mo: 0.0000 0.0000 0.9013
Mo: 0.3333 0.6667 0.5679
Mo: 0.3333 0.6667 0.7654
Mo: 0.6667 0.3333 0.2346
Mo: 0.6667 0.3333 0.4321
P: 0.0000 0.0000 0.2994
P: 0.0000 0.0000 0.5000
P: 0.0000 0.0000 0.7006
P: 0.3333 0.6667 0.1667
P: 0.3333 0.6667 0.3673
P: 0.3333 0.6667 0.9661
P: 0.6667 0.3333 0.0339
P: 0.6667 0.3333 0.6327
P: 0.6667 0.3333 0.8333



## Mo3P2 (GGA-PBE)

Data for a relaxed structure of Mo3P2.

Properties
formation energy	-0.52	eV per atom
space-group type	Pnma, No. 62
density of states at the Fermi level	12.634	states/eV/cell
DFT total energy	-183.6	eV per cell

abc: 9.2515 3.0927 10.1206
angles: 90.00 90.00 90.00
Element x y z (fractional)
Mo: 0.0599 0.2500 0.1320
Mo: 0.1319 0.7500 0.5452
Mo: 0.2229 0.2500 0.7692
Mo: 0.2771 0.7500 0.2692
Mo: 0.3681 0.2500 0.0452
Mo: 0.4401 0.7500 0.6320
Mo: 0.5599 0.2500 0.3680
Mo: 0.6319 0.7500 0.9548
Mo: 0.7229 0.2500 0.7308
Mo: 0.7771 0.7500 0.2308
Mo: 0.8681 0.2500 0.4548
Mo: 0.9401 0.7500 0.8680
P: 0.0255 0.7500 0.3245
P: 0.1822 0.7500 0.9663
P: 0.3178 0.2500 0.4663
P: 0.4745 0.2500 0.8245
P: 0.5255 0.7500 0.1755
P: 0.6822 0.7500 0.5337
P: 0.8178 0.2500 0.0337
P: 0.9745 0.2500 0.6755



## Mo4P5 (GGA-PBE)

Data for a relaxed structure of Mo4P5.

Properties
formation energy	-0.06	eV per atom
space-group type	P6_3/mcm, No. 193
density of states at the Fermi level	14.781	states/eV/cell
DFT total energy	-141.8	eV per cell

abc: 7.2103 7.2103 5.8095
angles: 90.00 90.00 120.00
Element x y z (fractional)
Mo: 0.0000 0.0000 0.0000
Mo: 0.0000 0.0000 0.5000
Mo: 0.0000 0.3971 0.2500
Mo: 0.0000 0.6029 0.7500
Mo: 0.3971 0.0000 0.2500
Mo: 0.3971 0.3971 0.7500
Mo: 0.6029 0.0000 0.7500
Mo: 0.6029 0.6029 0.2500
P: 0.0000 0.2727 0.7500
P: 0.0000 0.7273 0.2500
P: 0.2727 0.0000 0.7500
P: 0.2727 0.2727 0.2500
P: 0.3333 0.6667 0.0000
P: 0.3333 0.6667 0.5000
P: 0.6667 0.3333 0.0000
P: 0.6667 0.3333 0.5000
P: 0.7273 0.0000 0.2500
P: 0.7273 0.7273 0.7500